# 1
# SmBeTe2

A relaxed structure of SmBeTe2 (GGA-PBE, Alexandria).

a b c (Å): 3.7909 3.7909 9.3751
angles (deg): 78.34 78.34 60.00
Closest atoms and distances in Å follow each position.
Element x y z (fractional)
Be1 0.5000 0.5000 0.5000  6 Te 2.64
Te1 0.1126 0.1126 0.6623  3 Be 2.64
Te2 0.8874 0.8874 0.3377  3 Be 2.64
Sm1 0.0000 0.0000 0.0000  2 Te 3.08

Output
The value obtained for the formation energy from raw total energies is -69 meV per atom. As for the space group: R-3m (166).

# 2
# RbSnF3

A relaxed structure of RbSnF3 (GGA-PBE, Alexandria).

a b c (Å): 5.0589 4.5796 4.8900
angles (deg): 98.91 101.42 81.08
Closest atoms and distances in Å follow each position.
Element x y z (fractional)
Sn1 0.4375 0.3988 0.5232  3 F 2.10-2.28
Rb1 0.9307 0.8988 0.0320  4 F 2.81-3.07
F1 0.8628 0.3110 0.5765  1 Sn 2.10
F2 0.4928 0.8903 0.5780  2 Sn 2.28-2.35
F3 0.5040 0.4735 0.9668  1 Sn 2.11

Output
The value obtained for the formation energy from raw total energies is -2488 meV per atom. As for the space group: P1 (1).

# 3
# Bi2PtPb6

A relaxed structure of Bi2PtPb6 (GGA-PBE, Alexandria).

a b c (Å): 4.2361 8.6108 8.6120
angles (deg): 120.00 90.00 90.00
Closest atoms and distances in Å follow each position.
Element x y z (fractional)
Bi1 0.0000 0.3335 0.6668  9 Pb 3.36-3.45
Bi2 0.0000 0.6667 0.3332  9 Pb 3.36-3.45
Pt1 0.5000 0.9998 0.0000  9 Pb 2.95-3.19
Pb1 0.5000 0.6302 0.0000  1 Pt 3.18, 4 Bi 3.45, 4 Pb 3.51
Pb2 0.5000 0.3699 0.3699  1 Pt 3.19, 4 Bi 3.45, 4 Pb 3.51
Pb3 0.5000 0.0001 0.6301  1 Pt 3.19, 4 Bi 3.45, 4 Pb 3.51
Pb4 0.0000 0.2379 0.0000  2 Pt 2.95
Pb5 0.0000 0.7619 0.7618  2 Pt 2.95
Pb6 0.0000 0.0001 0.2382  2 Pt 2.95

Output
The formation energy comes out at -0.07 eV/atom. As for the space group: P-62m (189).

# 4
# La3RuPbCl

A relaxed structure of La3RuPbCl (GGA-PBE, Alexandria).

a b c (Å): 5.1497 7.4682 9.4583
angles (deg): 99.83 90.00 90.00
Closest atoms and distances in Å follow each position.
Element x y z (fractional)
La1 0.2500 0.7210 0.4373  1 Ru 2.68, 3 Cl 2.92-2.99
La2 0.7500 0.9140 0.1072  1 Cl 2.88, 2 Ru 3.22
La3 0.7500 0.4465 0.1261  1 Ru 2.61
La4 0.7500 0.2790 0.5627  1 Ru 2.68, 3 Cl 2.92-2.99
La5 0.2500 0.5535 0.8739  1 Ru 2.61
La6 0.2500 0.0860 0.8928  1 Cl 2.88, 2 Ru 3.22
Ru1 0.2500 0.6697 0.1503  2 La 2.61-2.68
Ru2 0.7500 0.3303 0.8497  2 La 2.61-2.68
Pb1 0.7500 0.7218 0.7336  4 La 3.25-3.58, 1 Ru 3.29, 1 Cl 3.53
Pb2 0.2500 0.2782 0.2664  4 La 3.25-3.58, 1 Ru 3.29, 1 Cl 3.53
Cl1 0.2500 0.1050 0.5913  4 La 2.88-2.99
Cl2 0.7500 0.8950 0.4087  4 La 2.88-2.99

Output
The value obtained for the formation energy from raw total energies is -755 meV per atom. As for the space group: P2_1/m (11).

# 5
# CeAgSb2

A relaxed structure of CeAgSb2 (GGA-PBE, Alexandria).

a b c (Å): 4.4060 4.4060 10.4880
angles (deg): 90.00 90.00 90.00
Closest atoms and distances in Å follow each position.
Element x y z (fractional)
Ce1 0.5000 0.0000 0.2362  8 Sb 3.23-3.32, 4 Ag 3.54
Ce2 0.0000 0.5000 0.7638  8 Sb 3.23-3.32, 4 Ag 3.54
Ag1 0.0000 0.0000 0.5000  4 Sb 2.92, 4 Ag 3.12
Ag2 0.5000 0.5000 0.5000  4 Sb 2.92, 4 Ag 3.12
Sb1 0.0000 0.0000 0.0000  4 Sb 3.12, 4 Ce 3.32
Sb2 0.5000 0.5000 0.0000  4 Sb 3.12, 4 Ce 3.32
Sb3 0.5000 0.0000 0.6820  4 Ag 2.92, 4 Ce 3.23
Sb4 0.0000 0.5000 0.3180  4 Ag 2.92, 4 Ce 3.23

Output
The value obtained for the formation energy from raw total energies is -659 meV per atom. As for the space group: P4/nmm (129).

# 6
# SrLuPd

A relaxed structure of SrLuPd (GGA-PBE, Alexandria).

a b c (Å): 3.6123 3.6123 7.0842
angles (deg): 104.77 104.77 90.00
Closest atoms and distances in Å follow each position.
Element x y z (fractional)
Sr1 0.0228 0.0228 0.0456  4 Pd 3.37, 1 Lu 3.50, 4 Sr 3.61
Lu1 0.2877 0.2877 0.5753  4 Pd 2.86
Pd1 0.6895 0.6895 0.3791  4 Lu 2.86

Output
The formation energy comes out at -0.48 eV/atom. As for the space group: I4mm (107).

# 7
# KLaBe2

A relaxed structure of KLaBe2 (GGA-PBE, Alexandria).

a b c (Å): 5.4367 5.4367 7.9715
angles (deg): 56.71 56.71 43.66
Closest atoms and distances in Å follow each position.
Element x y z (fractional)
Be1 0.0239 0.0239 0.7662  2 Be 2.13
Be2 0.4761 0.4761 0.7338  2 Be 2.13
K1 0.2500 0.2500 0.2500  2 Be 3.32
La1 0.7500 0.7500 0.7500  6 Be 2.84-2.99

Output
Its offset from the most stable computed form is 147 meV per atom. The formation energy comes out at 0.53 eV/atom. As for the space group: C2/m (12).

# 8
# AcPr4Y2

A relaxed structure of AcPr4Y2 (GGA-PBE, Alexandria).

a b c (Å): 5.8685 5.8685 9.1753
angles (deg): 71.35 71.35 60.00
Closest atoms and distances in Å follow each position.
Element x y z (fractional)
Ac1 0.0000 0.0000 0.0000  2 Y 3.54, 6 Pr 3.77
Pr1 0.4224 0.4224 0.7327  3 Pr 3.45, 3 Y 3.62
Pr2 0.2688 0.2688 0.1936  1 Y 3.33, 3 Pr 3.45
Pr3 0.7312 0.7312 0.8064  1 Y 3.33, 3 Pr 3.45
Pr4 0.5776 0.5776 0.2673  3 Pr 3.45, 3 Y 3.62
Y1 0.1385 0.1385 0.5846  4 Pr 3.33-3.62, 1 Ac 3.54, 3 Y 3.68
Y2 0.8615 0.8615 0.4154  4 Pr 3.33-3.62, 1 Ac 3.54, 3 Y 3.68

Output
Its offset from the most stable computed form is 0 meV per atom. The formation energy comes out at 0.11 eV/atom. As for the space group: R-3m (166).

# 9
# ZrTe2Cl

A relaxed structure of ZrTe2Cl (GGA-PBE, Alexandria).

a b c (Å): 5.5899 5.5899 7.7293
angles (deg): 68.37 68.37 39.25
Closest atoms and distances in Å follow each position.
Element x y z (fractional)
Cl1 0.8374 0.8374 0.6446  2 Zr 2.65
Te1 0.9973 0.9973 0.1019  2 Zr 2.90
Te2 0.1933 0.1933 0.3537  3 Zr 2.90-3.09
Zr1 0.4720 0.4720 0.3998  2 Cl 2.65, 4 Te 2.90

Output
Its offset from the most stable computed form is 0 meV per atom. The value obtained for the formation energy from raw total energies is -845 meV per atom. As for the space group: Cm (8).

# 10
# Pm3Dy3Tm2

A relaxed structure of Pm3Dy3Tm2 (GGA-PBE, Alexandria).

a b c (Å): 5.6971 5.9788 8.7218
angles (deg): 110.96 109.06 90.00
Closest atoms and distances in Å follow each position.
Element x y z (fractional)
Pm1 0.3650 0.9264 0.7300  1 Pm 3.31, 4 Tm 3.41-3.52, 5 Dy 3.53-3.67
Pm2 0.5000 0.5000 0.0000  2 Pm 3.31, 4 Dy 3.51
Pm3 0.6350 0.0736 0.2700  1 Pm 3.31, 4 Tm 3.41-3.52, 5 Dy 3.53-3.67
Dy1 0.8666 0.3140 0.7333  1 Dy 3.39, 4 Tm 3.43-3.53, 5 Pm 3.51-3.67
Dy2 0.1334 0.6860 0.2667  1 Dy 3.39, 4 Tm 3.43-3.53, 5 Pm 3.51-3.67
Dy3 0.0000 0.0000 0.0000  2 Dy 3.39, 4 Pm 3.54
Tm1 0.7498 0.6822 0.4996  4 Pm 3.41-3.52, 4 Dy 3.43-3.53, 2 Tm 3.59
Tm2 0.2502 0.3178 0.5004  4 Pm 3.41-3.52, 4 Dy 3.43-3.53, 2 Tm 3.59

Output
Its offset from the most stable computed form is 62 meV per atom. The formation energy comes out at 0.08 eV/atom. As for the space group: C2/m (12).

- Number 6 is which compound?
  SrLuPd